Here is a relaxed structure of SmBi2WO8 from the Alexandria database. Energies are from PBE with a Hubbard U.

```
SmBi2WO8
1.0
5.179 0.001 -0.003
0.037 5.172 -0.006
0.004 0.008 6.900
Sm Bi W O
1 2 1 8
Cartesian
0.002 0.004 3.450
2.611 2.592 5.206
2.609 2.588 1.685
0.000 0.000 0.000
0.958 4.237 1.461
3.821 3.801 -0.006
4.260 0.939 1.462
4.262 0.943 5.431
1.399 1.380 6.897
0.960 4.242 5.429
3.574 3.556 3.444
1.647 1.624 3.447
```

## Properties
DFT total energy = -81.92 eV for the cell shown
Crystal system = monoclinic
Calculated volume = 15.402 Å³/atom